<A>
Material: Pm2RhAu3
Method: DFT, PBE
State: optimized geometry

Cell and atoms, written as CIF:
```
data_Pm2RhAu3
_chemical_formula_sum 'Pm4 Rh2 Au6'
_cell_length_a 5.063
_cell_length_b 5.695
_cell_length_c 9.821
_cell_angle_alpha 90.00
_cell_angle_beta 90.00
_cell_angle_gamma 90.00
_space_group_name_H-M_alt 'I m m m'
_space_group_IT_number 71
_space_group_name_Hall '-I 2 2'
loop_
_atom_site_label
_atom_site_type_symbol
_atom_site_fract_x
_atom_site_fract_y
_atom_site_fract_z
Pm1 Pm 0.000 0.000 0.209
Rh1 Rh 0.000 0.000 0.500
Au1 Au 0.000 0.500 0.135
Au2 Au 0.000 0.500 0.500
```

Values from the calculation:
As for the density of states at the Fermi level: 0.707 states/eV per atom. As for the total magnetization: 0.000 μB/cell.


<B>
Material: Pm2RhAu3
Method: DFT, PBE
State: optimized geometry

Cell and atoms, written as CIF:
```
data_Pm2RhAu3
_chemical_formula_sum 'Pm2 Rh1 Au3'
_cell_length_a 3.592
_cell_length_b 4.830
_cell_length_c 7.899
_cell_angle_alpha 90.00
_cell_angle_beta 90.00
_cell_angle_gamma 90.00
_space_group_name_H-M_alt 'P m m 2'
_space_group_IT_number 25
loop_
_space_group_symop_operation_xyz
'x,y,z'
'-x,-y,z'
'-x,y,z'
'x,-y,z'
loop_
_atom_site_label
_atom_site_type_symbol
_atom_site_fract_x
_atom_site_fract_y
_atom_site_fract_z
Pm1 Pm 0.000 0.000 0.000
Pm2 Pm 0.000 0.500 0.465
Rh1 Rh 0.500 0.000 0.293
Au1 Au 0.500 0.000 0.636
Au2 Au 0.500 0.500 0.149
Au3 Au 0.500 0.500 0.803
```

Values from the calculation:
As for the density of states at the Fermi level: 0.871 states/eV per atom. As for the total magnetization: 0.000 μB/cell.


Name the most stable of them. <B>.


<A>
Material: Pm8Rh2Au
Method: DFT, PBE
State: optimized geometry

Cell and atoms, written as CIF:
```
data_Pm8Rh2Au
_chemical_formula_sum 'Pm16 Rh4 Au2'
_cell_length_a 17.773
_cell_length_b 5.144
_cell_length_c 6.958
_cell_angle_alpha 90.00
_cell_angle_beta 100.71
_cell_angle_gamma 90.00
_space_group_name_H-M_alt 'C 1 2/m 1'
_space_group_IT_number 12
loop_
_space_group_symop_operation_xyz
'x,y,z'
'-x,-y,-z'
'-x,y,-z'
'x,-y,z'
'x+1/2,y+1/2,z'
'-x+1/2,-y+1/2,-z'
'-x+1/2,y+1/2,-z'
'x+1/2,-y+1/2,z'
loop_
_atom_site_label
_atom_site_type_symbol
_atom_site_fract_x
_atom_site_fract_y
_atom_site_fract_z
Pm1 Pm 0.040 0.000 0.267
Pm2 Pm 0.089 0.500 0.945
Pm3 Pm 0.170 0.500 0.465
Pm4 Pm 0.199 0.000 0.837
Rh1 Rh 0.205 0.000 0.239
Au1 Au 0.000 0.500 0.500
```

Values from the calculation:
As for the density of states at the Fermi level: 1.040 states/eV per atom. As for the total magnetization: 0.000 μB/cell.


<B>
Material: Pm8Rh2Au
Method: DFT, PBE
State: optimized geometry

Cell and atoms, written as CIF:
```
data_Pm8Rh2Au
_chemical_formula_sum 'Pm16 Rh4 Au2'
_cell_length_a 8.493
_cell_length_b 12.946
_cell_length_c 6.237
_cell_angle_alpha 90.00
_cell_angle_beta 107.50
_cell_angle_gamma 90.00
_space_group_name_H-M_alt 'C 1 m 1'
_space_group_IT_number 8
loop_
_space_group_symop_operation_xyz
'x,y,z'
'x,-y,z'
'x+1/2,y+1/2,z'
'x+1/2,-y+1/2,z'
loop_
_atom_site_label
_atom_site_type_symbol
_atom_site_fract_x
_atom_site_fract_y
_atom_site_fract_z
Pm1 Pm 0.000 0.000 0.000
Pm2 Pm 0.074 0.368 0.793
Pm3 Pm 0.150 0.134 0.577
Pm4 Pm 0.233 0.500 0.381
Pm5 Pm 0.358 0.222 0.188
Rh1 Rh 0.362 0.311 0.691
Au1 Au 0.366 0.000 0.360
```

Values from the calculation:
As for the density of states at the Fermi level: 1.145 states/eV per atom. As for the total magnetization: 0.000 μB/cell.


Name the most stable of them. <A>.


<A>
Material: Pm3RhAu
Method: DFT, PBE
State: optimized geometry

Cell and atoms, written as CIF:
```
data_Pm3RhAu
_chemical_formula_sum 'Pm12 Rh4 Au4'
_cell_length_a 8.619
_cell_length_b 6.745
_cell_length_c 10.323
_cell_angle_alpha 90.00
_cell_angle_beta 115.71
_cell_angle_gamma 90.00
_space_group_name_H-M_alt 'P 1 21/c 1'
_space_group_IT_number 14
loop_
_space_group_symop_operation_xyz
'x,y,z'
'-x,-y,-z'
'-x,y+1/2,-z+1/2'
'x,-y+1/2,z+1/2'
loop_
_atom_site_label
_atom_site_type_symbol
_atom_site_fract_x
_atom_site_fract_y
_atom_site_fract_z
Pm1 Pm 0.144 0.037 0.326
Pm2 Pm 0.227 0.516 0.523
Pm3 Pm 0.339 0.002 0.711
Rh1 Rh 0.032 0.203 0.552
Au1 Au 0.495 0.718 0.991
```

Values from the calculation:
As for the density of states at the Fermi level: 0.857 states/eV per atom. As for the total magnetization: 0.000 μB/cell.


<B>
Material: Pm3RhAu
Method: DFT, PBE
State: optimized geometry

Cell and atoms, written as CIF:
```
data_Pm3RhAu
_chemical_formula_sum 'Pm12 Rh4 Au4'
_cell_length_a 7.594
_cell_length_b 4.626
_cell_length_c 15.366
_cell_angle_alpha 90.00
_cell_angle_beta 90.00
_cell_angle_gamma 90.00
_space_group_name_H-M_alt 'P n m a'
_space_group_IT_number 62
loop_
_space_group_symop_operation_xyz
'x,y,z'
'-x,-y,-z'
'-x+1/2,-y,z+1/2'
'x+1/2,y,-z+1/2'
'x+1/2,-y+1/2,-z+1/2'
'-x+1/2,y+1/2,z+1/2'
'-x,y+1/2,-z'
'x,-y+1/2,z'
loop_
_atom_site_label
_atom_site_type_symbol
_atom_site_fract_x
_atom_site_fract_y
_atom_site_fract_z
Pm1 Pm 0.013 0.250 0.102
Pm2 Pm 0.136 0.750 0.448
Pm3 Pm 0.177 0.250 0.720
Rh1 Rh 0.230 0.750 0.045
Au1 Au 0.115 0.250 0.307
```

Values from the calculation:
As for the density of states at the Fermi level: 0.805 states/eV per atom. As for the total magnetization: 0.000 μB/cell.


Name the most stable of them. <B>.


<A>
Material: Pm3Rh2Au
Method: DFT, PBE
State: optimized geometry

Cell and atoms, written as CIF:
```
data_Pm3Rh2Au
_chemical_formula_sum 'Pm3 Rh2 Au1'
_cell_length_a 3.556
_cell_length_b 3.556
_cell_length_c 10.887
_cell_angle_alpha 90.00
_cell_angle_beta 90.00
_cell_angle_gamma 90.00
_space_group_name_H-M_alt 'P 4/m m m'
_space_group_IT_number 123
_space_group_name_Hall '-P 4 2'
loop_
_atom_site_label
_atom_site_type_symbol
_atom_site_fract_x
_atom_site_fract_y
_atom_site_fract_z
Pm1 Pm 0.000 0.000 0.000
Pm2 Pm 0.000 0.000 0.318
Rh1 Rh 0.500 0.500 0.163
Au1 Au 0.500 0.500 0.500
```

Values from the calculation:
As for the density of states at the Fermi level: 1.117 states/eV per atom. As for the total magnetization: 0.000 μB/cell.


<B>
Material: Pm3Rh2Au
Method: DFT, PBE
State: optimized geometry

Cell and atoms, written as CIF:
```
data_Pm3Rh2Au
_chemical_formula_sum 'Pm6 Rh4 Au2'
_cell_length_a 3.871
_cell_length_b 15.701
_cell_length_c 4.519
_cell_angle_alpha 90.00
_cell_angle_beta 90.00
_cell_angle_gamma 90.00
_space_group_name_H-M_alt 'C m m m'
_space_group_IT_number 65
_space_group_name_Hall '-C 2 2'
loop_
_atom_site_label
_atom_site_type_symbol
_atom_site_fract_x
_atom_site_fract_y
_atom_site_fract_z
Pm1 Pm 0.000 0.000 0.000
Pm2 Pm 0.000 0.164 0.500
Rh1 Rh 0.000 0.328 0.000
Au1 Au 0.000 0.500 0.500
```

Values from the calculation:
As for the density of states at the Fermi level: 0.501 states/eV per atom. As for the total magnetization: 0.000 μB/cell.


Name the most stable of them. <A>.


<A>
Material: PmRh2Au
Method: DFT, PBE
State: optimized geometry

Cell and atoms, written as CIF:
```
data_PmRh2Au
_chemical_formula_sum 'Pm4 Rh8 Au4'
_cell_length_a 6.655
_cell_length_b 6.655
_cell_length_c 6.655
_cell_angle_alpha 90.00
_cell_angle_beta 90.00
_cell_angle_gamma 90.00
_space_group_name_H-M_alt 'F m -3 m'
_space_group_IT_number 225
_space_group_name_Hall '-F 4 2 3'
loop_
_atom_site_label
_atom_site_type_symbol
_atom_site_fract_x
_atom_site_fract_y
_atom_site_fract_z
Pm1 Pm 0.000 0.000 0.000
Rh1 Rh 0.250 0.250 0.250
Au1 Au 0.000 0.000 0.500
```

Values from the calculation:
As for the density of states at the Fermi level: 0.478 states/eV per atom. As for the total magnetization: 0.000 μB/cell.


<B>
Material: PmRh2Au
Method: DFT, PBE
State: optimized geometry

Cell and atoms, written as CIF:
```
data_PmRh2Au
_chemical_formula_sum 'Pm1 Rh2 Au1'
_cell_length_a 4.266
_cell_length_b 4.266
_cell_length_c 4.008
_cell_angle_alpha 90.00
_cell_angle_beta 90.00
_cell_angle_gamma 90.00
_space_group_name_H-M_alt 'P 4/m m m'
_space_group_IT_number 123
_space_group_name_Hall '-P 4 2'
loop_
_atom_site_label
_atom_site_type_symbol
_atom_site_fract_x
_atom_site_fract_y
_atom_site_fract_z
Pm1 Pm 0.000 0.000 0.000
Rh1 Rh 0.000 0.500 0.500
Au1 Au 0.500 0.500 0.000
```

Values from the calculation:
As for the density of states at the Fermi level: 1.476 states/eV per atom. As for the total magnetization: 0.002 μB/cell.


Name the most stable of them. <B>.


<A>
Material: PmSmRhAu
Method: DFT, PBE
State: optimized geometry

Cell and atoms, written as CIF:
```
data_PmSmRhAu
_chemical_formula_sum 'Pm2 Sm2 Rh2 Au2'
_cell_length_a 4.599
_cell_length_b 3.908
_cell_length_c 10.730
_cell_angle_alpha 90.00
_cell_angle_beta 90.00
_cell_angle_gamma 90.00
_space_group_name_H-M_alt 'A m m 2'
_space_group_IT_number 38
loop_
_space_group_symop_operation_xyz
'x,y,z'
'-x,-y,z'
'-x,y,z'
'x,-y,z'
'x,y+1/2,z+1/2'
'-x,-y+1/2,z+1/2'
'-x,y+1/2,z+1/2'
'x,-y+1/2,z+1/2'
loop_
_atom_site_label
_atom_site_type_symbol
_atom_site_fract_x
_atom_site_fract_y
_atom_site_fract_z
Pm1 Pm 0.000 0.000 0.000
Sm1 Sm 0.500 0.000 0.720
Rh1 Rh 0.000 0.000 0.265
Au1 Au 0.500 0.000 0.439
```

Values from the calculation:
As for the density of states at the Fermi level: 0.621 states/eV per atom. As for the total magnetization: 0.000 μB/cell.


<B>
Material: PmSmRhAu
Method: DFT, PBE
State: optimized geometry

Cell and atoms, written as CIF:
```
data_PmSmRhAu
_chemical_formula_sum 'Pm4 Sm4 Rh4 Au4'
_cell_length_a 7.197
_cell_length_b 7.197
_cell_length_c 7.197
_cell_angle_alpha 90.00
_cell_angle_beta 90.00
_cell_angle_gamma 90.00
_space_group_name_H-M_alt 'F -4 3 m'
_space_group_IT_number 216
_space_group_name_Hall 'F -4 2 3'
loop_
_atom_site_label
_atom_site_type_symbol
_atom_site_fract_x
_atom_site_fract_y
_atom_site_fract_z
Pm1 Pm 0.000 0.000 0.000
Sm1 Sm 0.000 0.000 0.500
Rh1 Rh 0.250 0.250 0.750
Au1 Au 0.250 0.250 0.250
```

Values from the calculation:
As for the density of states at the Fermi level: 1.039 states/eV per atom. As for the total magnetization: 0.000 μB/cell.


Name the most stable of them. <A>.